The following is a GGA-PBE calculation of SmTmNp after structural relaxation, from Alexandria via LeMat-Bulk.

## Properties
Formation enthalpy at 0 K   0.24 eV per atom
Space group   No. 12

Cell lengths 8.5647, 8.5647, 5.9158 Å; angles 101.76, 101.76, 23.81 degrees
Last column: nearest neighbours and their distance in Å.
Fractional positions:
Sm 0.1226 0.1226 0.3235  4 Np 3.29-3.66, 2 Sm 3.53, 6 Tm 3.55-3.58
Sm 0.8774 0.8774 0.6765  4 Np 3.29-3.66, 2 Sm 3.53, 6 Tm 3.55-3.58
Tm 0.4328 0.4328 0.2060  3 Np 3.32-3.47, 3 Tm 3.53-3.65, 6 Sm 3.55-3.58
Tm 0.5672 0.5672 0.7940  3 Np 3.32-3.47, 3 Tm 3.53-3.65, 6 Sm 3.55-3.58
Np 0.2382 0.2382 0.8615  2 Np 2.39
Np 0.7618 0.7618 0.1385  2 Np 2.39

The following is a GGA-PBE calculation of SmNpZn4 after structural relaxation, from Alexandria via LeMat-Bulk.

## Properties
Formation enthalpy at 0 K   -0.07 eV per atom
Space group   No. 216

Cell lengths 5.4911, 5.4911, 5.4911 Å; angles 60.00, 60.00, 60.00 degrees
Last column: nearest neighbours and their distance in Å.
Fractional positions:
Sm 0.0000 0.0000 0.0000  12 Zn 3.22, 4 Np 3.36
Np 0.2500 0.2500 0.2500  12 Zn 3.22, 4 Sm 3.36
Zn 0.1252 0.6249 0.6249  6 Zn 2.74-2.75
Zn 0.6249 0.1252 0.6249  6 Zn 2.74-2.75
Zn 0.6249 0.6249 0.1252  6 Zn 2.74-2.75
Zn 0.6249 0.6249 0.6249  6 Zn 2.74-2.75

The following is a GGA-PBE calculation of SmNpZn after structural relaxation, from Alexandria via LeMat-Bulk.

## Properties
Formation enthalpy at 0 K   0.19 eV per atom
Space group   No. 63

Cell lengths 10.6462, 10.6462, 4.0965 Å; angles 90.00, 90.00, 163.34 degrees
Last column: nearest neighbours and their distance in Å.
Fractional positions:
Sm 0.1330 0.8670 0.7500  2 Sm 3.08, 5 Zn 3.13, 4 Np 3.36
Sm 0.8670 0.1330 0.2500  2 Sm 3.08, 5 Zn 3.13, 4 Np 3.36
Np 0.4703 0.5297 0.7500  2 Np 2.40
Np 0.5297 0.4703 0.2500  2 Np 2.40
Zn 0.2815 0.7185 0.7500  6 Zn 2.89-3.08, 5 Sm 3.13
Zn 0.7185 0.2815 0.2500  6 Zn 2.89-3.08, 5 Sm 3.13

The following is a GGA-PBE calculation of SmZr2Np after structural relaxation, from Alexandria via LeMat-Bulk.

## Properties
Formation enthalpy at 0 K   0.31 eV per atom
Space group   No. 166

Cell lengths 10.9847, 10.9847, 10.9847 Å; angles 17.20, 17.20, 17.20 degrees
Last column: nearest neighbours and their distance in Å.
Fractional positions:
Sm 0.0000 0.0000 0.0000  6 Sm 3.29, 6 Zr 3.44
Zr 0.2450 0.2450 0.2450  3 Np 3.17, 6 Zr 3.29, 3 Sm 3.44
Zr 0.7550 0.7550 0.7550  3 Np 3.17, 6 Zr 3.29, 3 Sm 3.44
Np 0.5000 0.5000 0.5000  6 Zr 3.17, 6 Np 3.29

The following is a GGA-PBE calculation of Np3Sn after structural relaxation, from Alexandria via LeMat-Bulk.

## Properties
Formation enthalpy at 0 K   0.24 eV per atom
Space group   No. 221
Energy above the lowest structure with this stoichiometry   0.000 eV per atom

Cell lengths 4.5767, 4.5767, 4.5767 Å; angles 90.00, 90.00, 90.00 degrees
Last column: nearest neighbours and their distance in Å.
Fractional positions:
Np 0.0000 0.0000 0.5000  4 Sn 3.24, 8 Np 3.24
Np 0.0000 0.5000 0.0000  4 Sn 3.24, 8 Np 3.24
Np 0.5000 0.0000 0.0000  4 Sn 3.24, 8 Np 3.24
Sn 0.5000 0.5000 0.5000  12 Np 3.24

The following is a GGA-PBE calculation of NpSn4 after structural relaxation, from Alexandria via LeMat-Bulk.

## Properties
Formation enthalpy at 0 K   0.85 eV per atom
Space group   No. 221
Energy above the lowest structure with this stoichiometry   0.891 eV per atom

Cell lengths 5.7616, 5.7616, 5.7616 Å; angles 90.00, 90.00, 90.00 degrees
Last column: nearest neighbours and their distance in Å.
Fractional positions:
Np 0.0000 0.0000 0.0000  6 Sn 2.88
Sn 0.0000 0.0000 0.5000  2 Np 2.88
Sn 0.0000 0.5000 0.0000  2 Np 2.88
Sn 0.5000 0.0000 0.0000  2 Np 2.88
Sn 0.5000 0.5000 0.5000  12 Sn 4.07

The following is a GGA-PBE calculation of Np3Sn after structural relaxation, from Alexandria via LeMat-Bulk.

## Properties
Formation enthalpy at 0 K   0.28 eV per atom
Space group   No. 139
Energy above the lowest structure with this stoichiometry   0.039 eV per atom

Cell lengths 5.6825, 5.6825, 5.6825 Å; angles 133.09, 133.09, 68.51 degrees
Last column: nearest neighbours and their distance in Å.
Fractional positions:
Np 0.0000 0.0000 0.0000  4 Sn 3.20, 8 Np 3.26
Np 0.2500 0.7500 0.5000  8 Np 3.20-3.26, 4 Sn 3.26
Np 0.7500 0.2500 0.5000  8 Np 3.20-3.26, 4 Sn 3.26
Sn 0.5000 0.5000 0.0000  12 Np 3.20-3.26

The following is a GGA-PBE calculation of NpSn6 after structural relaxation, from Alexandria via LeMat-Bulk.

## Properties
Formation enthalpy at 0 K   0.58 eV per atom
Space group   No. 229

Cell lengths 7.0065, 7.0065, 7.0065 Å; angles 109.47, 109.47, 109.47 degrees
Last column: nearest neighbours and their distance in Å.
Fractional positions:
Np 0.0000 0.0000 0.0000  24 Sn 4.52
Sn 0.2500 0.5000 0.7500  4 Sn 2.86
Sn 0.2500 0.7500 0.5000  4 Sn 2.86
Sn 0.5000 0.2500 0.7500  4 Sn 2.86
Sn 0.5000 0.7500 0.2500  4 Sn 2.86
Sn 0.7500 0.2500 0.5000  4 Sn 2.86
Sn 0.7500 0.5000 0.2500  4 Sn 2.86

The following is a GGA-PBE calculation of NpSn5 after structural relaxation, from Alexandria via LeMat-Bulk.

## Properties
Formation enthalpy at 0 K   0.01 eV per atom
Space group   No. 65

Cell lengths 7.8581, 7.8581, 4.4717 Å; angles 90.00, 90.00, 145.17 degrees
Last column: nearest neighbours and their distance in Å.
Fractional positions:
Np 0.0000 0.0000 0.0000  12 Sn 3.25-3.39
Sn 0.1702 0.8298 0.5000  10 Sn 3.25-3.47, 2 Np 3.39
Sn 0.3448 0.6552 0.0000  8 Sn 3.23-3.44, 2 Np 3.31
Sn 0.5000 0.5000 0.5000  8 Sn 3.23-3.47, 4 Np 3.25
Sn 0.6552 0.3448 0.0000  8 Sn 3.23-3.44, 2 Np 3.31
Sn 0.8298 0.1702 0.5000  10 Sn 3.25-3.47, 2 Np 3.39

The following is a GGA-PBE calculation of Np2Sn after structural relaxation, from Alexandria via LeMat-Bulk.

## Properties
Formation enthalpy at 0 K   0.20 eV per atom
Space group   No. 227

Cell lengths 5.6743, 5.6743, 5.6743 Å; angles 60.00, 60.00, 60.00 degrees
Last column: nearest neighbours and their distance in Å.
Fractional positions:
Np 0.0000 0.0000 0.0000  6 Np 2.84
Np 0.0000 0.0000 0.5000  6 Np 2.84
Np 0.0000 0.5000 0.0000  6 Np 2.84
Np 0.5000 0.0000 0.0000  6 Np 2.84
Sn 0.3750 0.3750 0.3750  12 Np 3.33, 4 Sn 3.47
Sn 0.6250 0.6250 0.6250  12 Np 3.33, 4 Sn 3.47

The following is a GGA-PBE calculation of NpSn3 after structural relaxation, from Alexandria via LeMat-Bulk.

## Properties
Formation enthalpy at 0 K   -0.02 eV per atom
Space group   No. 44

Cell lengths 6.3743, 6.3743, 6.3743 Å; angles 150.38, 62.84, 125.95 degrees
Last column: nearest neighbours and their distance in Å.
Fractional positions:
Np 0.0000 0.0000 0.0000  2 Np 3.26, 10 Sn 3.29-3.36
Sn 0.4386 0.6929 0.7457  9 Sn 3.23-3.39, 3 Np 3.29-3.32
Sn 0.5071 0.0071 0.5000  8 Sn 3.23-3.39, 4 Np 3.29-3.36
Sn 0.9472 0.6929 0.2543  9 Sn 3.23-3.39, 3 Np 3.29-3.32

The following is a GGA-PBE calculation of Np3Sn after structural relaxation, from Alexandria via LeMat-Bulk.

## Properties
Formation enthalpy at 0 K   0.27 eV per atom
Space group   No. 25
Energy above the lowest structure with this stoichiometry   0.034 eV per atom

Cell lengths 3.5362, 5.0477, 5.4445 Å; angles 90.00, 90.00, 90.00 degrees
Last column: nearest neighbours and their distance in Å.
Fractional positions:
Np 0.0000 0.0000 0.0000  4 Np 2.38-2.64
Np 0.0000 0.5000 0.1449  2 Np 2.64
Np 0.5000 0.0000 0.2937  2 Np 2.38
Sn 0.5000 0.5000 0.6622  6 Np 3.17-3.33, 2 Sn 3.54